[1]
A plane-wave DFT calculation with GGA-PBE was carried out for crystalline Be2TcI at its relaxed geometry.

Calculated values
Its space group is Fm-3m, No. 225. Its size of the total moment is 0.00 μB per cell. Its energy above the most stable polymorph in this dataset is 0.000 eV per atom. The electronic total energy is -3.6891 eV/atom.

Lattice parameters (Å, degrees): 4.3417 4.3417 4.3417 60.00 60.00 60.00
Fractional coordinates of all 4 atoms:
Be 0.2500 0.2500 0.2500
Be 0.7500 0.7500 0.7500
Tc 0.0000 0.0000 0.0000
I 0.5000 0.5000 0.5000

***

[2]
A plane-wave DFT calculation with GGA-PBE was carried out for crystalline RbCa3Ge at its relaxed geometry.

Calculated values
The formation energy is 1.21 eV/atom. Its space group is Pm-3m, No. 221. Its size of the total moment is 2.37 μB per cell. Its energy above the most stable polymorph in this dataset is 1.342 eV per atom. The electronic total energy is -1.1093 eV/atom.

Lattice parameters (Å, degrees): 5.9116 5.9116 5.9116 90.00 90.00 90.00
Fractional coordinates of all 5 atoms:
Rb 0.0000 0.0000 0.0000
Ca 0.0000 0.0000 0.5000
Ca 0.0000 0.5000 0.0000
Ca 0.5000 0.0000 0.0000
Ge 0.5000 0.5000 0.5000

***

[3]
A plane-wave DFT calculation with GGA-PBE was carried out for crystalline Sm2SiB2Rh5 at its relaxed geometry.

Calculated values
Its space group is P4/mbm, No. 127. Its size of the total moment is 0.00 μB per cell. The electronic total energy is -7.2313 eV/atom.

Lattice parameters (Å, degrees): 9.4755 9.4755 3.2438 90.00 90.00 90.00
Fractional coordinates of all 20 atoms:
Sm 0.1766 0.3234 0.0000
Sm 0.3234 0.8234 0.0000
Sm 0.6766 0.1766 0.0000
Sm 0.8234 0.6766 0.0000
Si 0.0000 0.0000 0.0000
Si 0.5000 0.5000 0.0000
B 0.1214 0.6214 0.0000
B 0.3786 0.1214 0.0000
B 0.6214 0.8786 0.0000
B 0.8786 0.3786 0.0000
Rh 0.0000 0.5000 0.5000
Rh 0.0682 0.7835 0.5000
Rh 0.2165 0.0682 0.5000
Rh 0.2835 0.5682 0.5000
Rh 0.4318 0.2835 0.5000
Rh 0.5000 0.0000 0.5000
Rh 0.5682 0.7165 0.5000
Rh 0.7165 0.4318 0.5000
Rh 0.7835 0.9318 0.5000
Rh 0.9318 0.2165 0.5000

***

[4]
A plane-wave DFT calculation with GGA-PBE was carried out for crystalline BaYV3 at its relaxed geometry.

Calculated values
The formation energy is 1.59 eV/atom. Its space group is Pm-3m, No. 221. Its size of the total moment is 8.12 μB per cell. Its energy above the most stable polymorph in this dataset is 0.000 eV per atom. The electronic total energy is -5.5604 eV/atom.

Lattice parameters (Å, degrees): 5.2657 5.2657 5.2657 90.00 90.00 90.00
Fractional coordinates of all 5 atoms:
Ba 0.0000 0.0000 0.0000
Y 0.5000 0.5000 0.5000
V 0.0000 0.5000 0.5000
V 0.5000 0.0000 0.5000
V 0.5000 0.5000 0.0000

***

[5]
A plane-wave DFT calculation with GGA-PBE was carried out for crystalline ZrCo4Ni2 at its relaxed geometry.

Calculated values
The formation energy is -0.11 eV/atom. Its space group is Immm, No. 71. Its size of the total moment is 6.03 μB per cell. The electronic total energy is -7.0392 eV/atom.

Lattice parameters (Å, degrees): 4.8977 4.8977 4.8977 122.68 103.37 103.22
Fractional coordinates of all 7 atoms:
Zr 0.0000 0.0000 0.0000
Co 0.0001 0.3063 0.6938
Co 0.9999 0.6937 0.3062
Co 0.3875 0.6937 0.6938
Co 0.6125 0.3063 0.3062
Ni 0.5000 0.2499 0.7499
Ni 0.5000 0.7501 0.2501

***

[6]
A plane-wave DFT calculation with GGA-PBE was carried out for crystalline SrGa9Rh3 at its relaxed geometry.

Calculated values
The formation energy is -0.43 eV/atom. Its space group is C2/m, No. 12. Its size of the total moment is 0.00 μB per cell. The electronic total energy is -4.3542 eV/atom.

Lattice parameters (Å, degrees): 6.9634 6.9634 6.8186 98.56 98.56 133.55
Fractional coordinates of all 13 atoms:
Sr 0.0000 0.0000 0.0000
Ga 0.0000 0.0000 0.5000
Ga 0.0038 0.6416 0.6597
Ga 0.2896 0.5131 0.7865
Ga 0.3584 0.9962 0.3403
Ga 0.4869 0.7104 0.2135
Ga 0.5131 0.2896 0.7865
Ga 0.6416 0.0038 0.6597
Ga 0.7104 0.4869 0.2135
Ga 0.9962 0.3584 0.3403
Rh 0.0000 0.5000 0.0000
Rh 0.5000 0.0000 0.0000
Rh 0.5000 0.5000 0.5000

***

[7]
A plane-wave DFT calculation with GGA-PBE was carried out for crystalline MnCrIr3 at its relaxed geometry.

Calculated values
The formation energy is 1.63 eV/atom. Its space group is Pm-3m, No. 221. Its size of the total moment is 0.33 μB per cell. Its energy above the most stable polymorph in this dataset is 0.013 eV per atom. The electronic total energy is -7.4426 eV/atom.

Lattice parameters (Å, degrees): 4.4476 4.4476 4.4476 90.00 90.00 90.00
Fractional coordinates of all 5 atoms:
Mn 0.0000 0.0000 0.0000
Cr 0.5000 0.5000 0.5000
Ir 0.0000 0.5000 0.5000
Ir 0.5000 0.0000 0.5000
Ir 0.5000 0.5000 0.0000

***

[8]
A plane-wave DFT calculation with GGA-PBE was carried out for crystalline NaPm12Sn6 at its relaxed geometry.

Calculated values
The formation energy is -0.35 eV/atom. Its space group is R-3m, No. 166. Its size of the total moment is 0.00 μB per cell. The electronic total energy is -4.6850 eV/atom.

Lattice parameters (Å, degrees): 9.2535 9.2535 9.2535 103.74 103.74 103.74
Fractional coordinates of all 19 atoms:
Na 0.0000 0.0000 0.0000
Pm 0.1341 0.5000 0.8659
Pm 0.1341 0.8659 0.5000
Pm 0.1781 0.4586 0.4586
Pm 0.4586 0.1781 0.4586
Pm 0.4586 0.4586 0.1781
Pm 0.5000 0.1341 0.8659
Pm 0.5000 0.8659 0.1341
Pm 0.5414 0.5414 0.8219
Pm 0.5414 0.8219 0.5414
Pm 0.8219 0.5414 0.5414
Pm 0.8659 0.1341 0.5000
Pm 0.8659 0.5000 0.1341
Sn 0.2363 0.2363 0.6734
Sn 0.2363 0.6734 0.2363
Sn 0.3266 0.7637 0.7637
Sn 0.6734 0.2363 0.2363
Sn 0.7637 0.3266 0.7637
Sn 0.7637 0.7637 0.3266